# DyTmInPb

Crystalline DyTmInPb at its relaxed geometry (PBE, Alexandria).

energy relative to the elements: -1.7 eV/f.u.
polymorph energy (0 for the lowest one): 0.000 eV per atom
SG: I-4m2 (119)
volume: 108.0 Å³/cell

The structure in extended XYZ format:
```
4
Lattice="-2.3446 2.3479 3.6749 -3.7796 0.9872 -3.0422 1.1273 -5.4445 0.8623" Properties=species:S:1:pos:R:3 pbc="T T T"
Dy -2.1398 -0.7146 2.4267
Tm -2.8572 -1.3948 -0.9318
In -1.2173 -3.0966 4.5371
Pb -1.9348 -3.7769 1.1787
```